This record from the Alexandria database describes a geometry-optimized VCrIrW structure. The functional is PBE-GGA.

a = 4.3024 Å, b = 4.3024 Å, c = 4.3024 Å
α = 60.00°, β = 60.00°, γ = 60.00°
Closest atoms and distances in Å follow each position.
Atoms (fractional coordinates):
V 0.0000 0.0000 0.0000  4 W 2.63, 4 Ir 2.63
Cr 0.5000 0.5000 0.5000  4 W 2.63, 4 Ir 2.63
Ir 0.7500 0.7500 0.7500  4 Cr 2.63, 4 V 2.63
W 0.2500 0.2500 0.2500  4 Cr 2.63, 4 V 2.63

DFT total energy	-10.23	eV/atom
volume	56	Å³/f.u.